Record 1
This record from Alexandria describes AlBIO2 after structural relaxation. The functional is PBE.

ΔE_f (raw) ... -1.70 eV/f.u.
Density of states at the Fermi level ... 2.840 states/eV/cell
Total energy ... -4.717 eV/atom
Symmetry ... No. 123
E above lowest polymorph ... 0 meV per atom

Structure (POSCAR):
```
AlBIO2
1.0
3.574 0.000 0.000
0.000 3.574 0.000
0.000 0.000 6.484
Al I O B
1 1 2 1
direct
0.000 0.000 0.000 Al
0.000 0.000 0.500 I
0.000 0.500 0.000 O
0.500 0.000 0.000 O
0.500 0.500 0.500 B
```

***

Record 2
This record from Alexandria describes Al2BIO after structural relaxation. The functional is PBE.

ΔE_f (raw) ... 3.28 eV/f.u.
Density of states at the Fermi level ... 2.099 states/eV/cell
Total energy ... -3.478 eV/atom
Symmetry ... No. 123

Structure (POSCAR):
```
Al2BIO
1.0
-3.891 -0.232 1.380
1.657 -2.373 4.275
0.442 3.665 1.864
O Al B I
1 2 1 1
direct
0.500 0.500 0.500 O
0.500 0.000 0.000 Al
0.000 0.000 0.500 Al
0.000 0.000 0.000 B
0.000 0.500 0.000 I
```